i | The following is a DFT calculation (GGA-PBE) of a geometry-optimized SrCrRe3 structure.

Output
Crystal system: cubic
Volume, Å³ per atom: 20.5

Cell: 4.6792 4.6792 4.6792 Å, 90.00 90.00 90.00°
Last column: nearest neighbours and their distance in Å.
Atoms (fractional coordinates):
Sr1 0.0000 0.0000 0.0000  6 Re 2.34
Cr1 0.5000 0.5000 0.5000  12 Re 3.31
Re1 0.0000 0.0000 0.5000  2 Sr 2.34
Re2 0.0000 0.5000 0.0000  2 Sr 2.34
Re3 0.5000 0.0000 0.0000  2 Sr 2.34

---

ii | The following is a DFT calculation (GGA-PBE) of a geometry-optimized SrCrRe3 structure.

Output
Crystal system: cubic
Volume, Å³ per atom: 19.8

Cell: 4.6235 4.6235 4.6235 Å, 90.00 90.00 90.00°
Last column: nearest neighbours and their distance in Å.
Atoms (fractional coordinates):
Sr1 0.0000 0.0000 0.0000  12 Re 3.27
Cr1 0.5000 0.5000 0.5000  6 Re 2.31
Re1 0.0000 0.5000 0.5000  2 Cr 2.31
Re2 0.5000 0.0000 0.5000  2 Cr 2.31
Re3 0.5000 0.5000 0.0000  2 Cr 2.31

---

Stability summary: most stable ii, least stable i.

---

i | The following is a DFT calculation (GGA-PBE) of a geometry-optimized SrCr3Re structure.

Output
Crystal system: cubic
Volume, Å³ per atom: 19.6

Cell: 4.6078 4.6078 4.6078 Å, 90.00 90.00 90.00°
Last column: nearest neighbours and their distance in Å.
Atoms (fractional coordinates):
Sr1 0.0000 0.0000 0.0000  6 Cr 2.30
Cr1 0.0000 0.0000 0.5000  2 Sr 2.30
Cr2 0.0000 0.5000 0.0000  2 Sr 2.30
Cr3 0.5000 0.0000 0.0000  2 Sr 2.30
Re1 0.5000 0.5000 0.5000  12 Cr 3.26

---

ii | The following is a DFT calculation (GGA-PBE) of a geometry-optimized SrCr3Re structure.

Output
Crystal system: cubic
Volume, Å³ per atom: 22.4

Cell: 4.8216 4.8216 4.8216 Å, 90.00 90.00 90.00°
Last column: nearest neighbours and their distance in Å.
Atoms (fractional coordinates):
Sr1 0.0000 0.0000 0.0000  12 Cr 3.41
Cr1 0.0000 0.5000 0.5000  2 Re 2.41
Cr2 0.5000 0.0000 0.5000  2 Re 2.41
Cr3 0.5000 0.5000 0.0000  2 Re 2.41
Re1 0.5000 0.5000 0.5000  6 Cr 2.41

---

Stability summary: most stable ii, least stable i.

---

i | The following is a DFT calculation (GGA-PBE) of a geometry-optimized Sr2Cr2Re structure.

Output
Crystal system: tetragonal
Volume, Å³ per atom: 23.1

Cell: 8.6250 8.6250 3.1028 Å, 90.00 90.00 90.00°
Last column: nearest neighbours and their distance in Å.
Atoms (fractional coordinates):
Sr1 0.2140 0.2860 0.0000  6 Cr 3.03-3.16, 2 Sr 3.10
Sr2 0.2860 0.7860 0.0000  6 Cr 3.03-3.16, 2 Sr 3.10
Sr3 0.7140 0.2140 0.0000  6 Cr 3.03-3.16, 2 Sr 3.10
Sr4 0.7860 0.7140 0.0000  6 Cr 3.03-3.16, 2 Sr 3.10
Cr1 0.0726 0.5726 0.5000  1 Cr 1.77
Cr2 0.4274 0.0726 0.5000  1 Cr 1.77
Cr3 0.5726 0.9274 0.5000  1 Cr 1.77
Cr4 0.9274 0.4274 0.5000  1 Cr 1.77
Re1 0.0000 0.0000 0.5000  2 Re 3.10, 8 Sr 3.45
Re2 0.5000 0.5000 0.5000  2 Re 3.10, 8 Sr 3.45

---

ii | The following is a DFT calculation (GGA-PBE) of a geometry-optimized Sr2Cr2Re structure.

Output
Crystal system: tetragonal
Volume, Å³ per atom: 21.2

Cell: 7.1650 7.1650 7.1650 Å, 147.46 147.46 46.68°
Last column: nearest neighbours and their distance in Å.
Atoms (fractional coordinates):
Sr1 0.2500 0.7500 0.5000  4 Sr 2.84, 4 Cr 3.13
Sr2 0.7500 0.2500 0.5000  4 Sr 2.84, 4 Cr 3.13
Cr1 0.0678 0.0678 0.0000  1 Cr 1.78
Cr2 0.9322 0.9322 0.0000  1 Cr 1.78
Re1 0.5000 0.5000 0.0000  8 Cr 2.98

---

Stability summary: most stable i, least stable ii.

---

i | The following is a DFT calculation (GGA-PBE) of a geometry-optimized TaCrRe3 structure.

Output
Crystal system: cubic
Volume, Å³ per atom: 17.3

Cell: 4.4214 4.4214 4.4214 Å, 90.00 90.00 90.00°
Last column: nearest neighbours and their distance in Å.
Atoms (fractional coordinates):
Ta1 0.0000 0.0000 0.0000  12 Re 3.13
Cr1 0.5000 0.5000 0.5000  6 Re 2.21
Re1 0.0000 0.5000 0.5000  2 Cr 2.21
Re2 0.5000 0.0000 0.5000  2 Cr 2.21
Re3 0.5000 0.5000 0.0000  2 Cr 2.21

---

ii | The following is a DFT calculation (GGA-PBE) of a geometry-optimized TaCrRe3 structure.

Output
Crystal system: cubic
Volume, Å³ per atom: 20.7

Cell: 4.6947 4.6947 4.6947 Å, 90.00 90.00 90.00°
Last column: nearest neighbours and their distance in Å.
Atoms (fractional coordinates):
Ta1 0.0000 0.0000 0.0000  6 Re 2.35
Cr1 0.5000 0.5000 0.5000  12 Re 3.32
Re1 0.0000 0.0000 0.5000  2 Ta 2.35
Re2 0.0000 0.5000 0.0000  2 Ta 2.35
Re3 0.5000 0.0000 0.0000  2 Ta 2.35

---

Stability summary: most stable i, least stable ii.

---

i | The following is a DFT calculation (GGA-PBE) of a geometry-optimized TaCr2Re structure.

Output
Crystal system: monoclinic
Volume, Å³ per atom: 14.2

Cell: 4.9942 4.9942 2.6927 Å, 100.56 100.56 115.46°
Last column: nearest neighbours and their distance in Å.
Atoms (fractional coordinates):
Ta1 0.0000 0.0000 0.0000  4 Cr 2.61, 2 Re 2.67, 2 Ta 2.69
Cr1 0.0000 0.5000 0.5000  2 Ta 2.61, 2 Re 2.61, 4 Cr 2.67-2.69
Cr2 0.5000 0.0000 0.5000  2 Ta 2.61, 2 Re 2.61, 4 Cr 2.67-2.69
Re1 0.5000 0.5000 0.0000  4 Cr 2.61, 2 Ta 2.67, 2 Re 2.69

---

ii | The following is a DFT calculation (GGA-PBE) of a geometry-optimized TaCr2Re structure.

Output
Crystal system: trigonal
Volume, Å³ per atom: 14.6

Cell: 8.3024 8.3024 8.3024 Å, 19.95 19.95 19.95°
Last column: nearest neighbours and their distance in Å.
Atoms (fractional coordinates):
Ta1 0.0000 0.0000 0.0000  6 Cr 2.67, 6 Ta 2.88
Cr1 0.2476 0.2476 0.2476  3 Re 2.58, 3 Ta 2.67, 6 Cr 2.88
Cr2 0.7524 0.7524 0.7524  3 Re 2.58, 3 Ta 2.67, 6 Cr 2.88
Re1 0.5000 0.5000 0.5000  6 Cr 2.58, 6 Re 2.88

---

Stability summary: most stable i, least stable ii.

---

i | The following is a DFT calculation (GGA-PBE) of a geometry-optimized CrRe2Tc structure.

Output
Crystal system: orthorhombic
Volume, Å³ per atom: 14.3

Cell: 4.7040 4.7040 2.7297 Å, 90.00 90.00 109.20°
Last column: nearest neighbours and their distance in Å.
Atoms (fractional coordinates):
Cr1 0.0000 0.0000 0.0000  8 Re 2.72, 2 Tc 2.73, 2 Cr 2.73
Re1 0.0000 0.5000 0.5000  4 Cr 2.72, 4 Tc 2.72, 4 Re 2.73
Re2 0.5000 0.0000 0.5000  4 Cr 2.72, 4 Tc 2.72, 4 Re 2.73
Tc1 0.5000 0.5000 0.0000  8 Re 2.72, 2 Cr 2.73, 2 Tc 2.73

---

ii | The following is a DFT calculation (GGA-PBE) of a geometry-optimized CrRe2Tc structure.

Output
Crystal system: orthorhombic
Volume, Å³ per atom: 14.3

Cell: 2.6676 2.6676 8.5664 Å, 90.00 90.00 110.56°
Last column: nearest neighbours and their distance in Å.
Atoms (fractional coordinates):
Cr1 0.0000 0.0000 0.0000  4 Re 2.55, 4 Cr 2.67
Re1 0.5000 0.5000 0.2387  2 Cr 2.55, 4 Re 2.67, 2 Tc 2.71
Re2 0.5000 0.5000 0.7613  2 Cr 2.55, 4 Re 2.67, 2 Tc 2.71
Tc1 0.0000 0.0000 0.5000  4 Tc 2.67, 4 Re 2.71

---

Stability summary: most stable i, least stable ii.

---

i | The following is a DFT calculation (GGA-PBE) of a geometry-optimized VCrReTc structure.

Output
Crystal system: cubic
Volume, Å³ per atom: 13.6

Cell: 4.2576 4.2576 4.2576 Å, 60.00 60.00 60.00°
Last column: nearest neighbours and their distance in Å.
Atoms (fractional coordinates):
V1 0.0000 0.0000 0.0000  4 Tc 2.61, 4 Re 2.61
Cr1 0.5000 0.5000 0.5000  4 Tc 2.61, 4 Re 2.61
Re1 0.2500 0.2500 0.2500  4 Cr 2.61, 4 V 2.61
Tc1 0.7500 0.7500 0.7500  4 Cr 2.61, 4 V 2.61

---

ii | The following is a DFT calculation (GGA-PBE) of a geometry-optimized VCrReTc structure.

Output
Crystal system: tetragonal
Volume, Å³ per atom: 13.6

Cell: 3.0066 3.0066 6.0289 Å, 90.00 90.00 90.00°
Last column: nearest neighbours and their distance in Å.
Atoms (fractional coordinates):
V1 0.0000 0.0000 0.0000  4 Tc 2.56, 4 Re 2.65
Cr1 0.0000 0.0000 0.4986  4 Re 2.56, 4 Tc 2.65
Re1 0.5000 0.5000 0.2631  4 Cr 2.56, 4 V 2.65
Tc1 0.5000 0.5000 0.7620  4 V 2.56, 4 Cr 2.65

---

Stability summary: most stable ii, least stable i.

---

i | The following is a DFT calculation (GGA-PBE) of a geometry-optimized CrReTe2 structure.

Output
Crystal system: orthorhombic
Volume, Å³ per atom: 21.2

Cell: 6.8140 6.8140 6.8140 Å, 152.38 144.62 45.46°
Last column: nearest neighbours and their distance in Å.
Atoms (fractional coordinates):
Cr1 0.0000 0.0000 0.0000  6 Te 2.79-2.99, 2 Re 3.12
Re1 0.2119 0.7119 0.5000  6 Te 2.74-2.75
Te1 0.3874 0.3874 0.0000  2 Re 2.74, 4 Cr 2.99
Te2 0.6489 0.1489 0.5000  4 Re 2.75, 2 Cr 2.79

---

ii | The following is a DFT calculation (GGA-PBE) of a geometry-optimized CrReTe2 structure.

Output
Crystal system: monoclinic
Volume, Å³ per atom: 20.7

Cell: 4.4250 4.4250 5.9878 Å, 101.50 101.50 46.29°
Last column: nearest neighbours and their distance in Å.
Atoms (fractional coordinates):
Cr1 0.0000 0.0000 0.0000  6 Te 2.77-2.93
Re1 0.5000 0.5000 0.5000  6 Te 2.76-2.78
Te1 0.2395 0.2395 0.7342  3 Re 2.76-2.78, 3 Cr 2.77-2.93
Te2 0.7605 0.7605 0.2658  3 Re 2.76-2.78, 3 Cr 2.77-2.93

---

iii | The following is a DFT calculation (GGA-PBE) of a geometry-optimized CrReTe2 structure.

Output
Crystal system: monoclinic
Volume, Å³ per atom: 24.3

Cell: 4.2953 4.2953 7.0276 Å, 103.21 103.21 50.74°
Last column: nearest neighbours and their distance in Å.
Atoms (fractional coordinates):
Cr1 0.0000 0.0000 0.0000  3 Re 2.39-2.48
Re1 0.2969 0.2969 0.9278  3 Cr 2.39-2.48
Te1 0.5381 0.5381 0.6986  3 Re 2.76-2.89, 2 Cr 2.88
Te2 0.7581 0.7581 0.2183  3 Cr 2.71-2.86, 2 Re 2.82

---

Stability summary: most stable iii, least stable ii.

---

i | The following is a DFT calculation (GGA-PBE) of a geometry-optimized CrReTe2 structure.

Output
Crystal system: trigonal
Volume, Å³ per atom: 22.5

Cell: 10.3610 10.3610 10.3610 Å, 17.71 17.71 17.71°
Last column: nearest neighbours and their distance in Å.
Atoms (fractional coordinates):
Cr1 0.0000 0.0000 0.0000  3 Re 2.39
Re1 0.2834 0.2834 0.2834  3 Cr 2.39
Te1 0.5403 0.5403 0.5403  3 Re 2.97, 6 Te 3.19
Te2 0.7373 0.7373 0.7373  3 Cr 2.84

---

ii | The following is a DFT calculation (GGA-PBE) of a geometry-optimized CrReTe2 structure.

Output
Crystal system: cubic
Volume, Å³ per atom: 17.5

Cell: 4.6274 4.6274 4.6274 Å, 60.00 60.00 60.00°
Last column: nearest neighbours and their distance in Å.
Atoms (fractional coordinates):
Cr1 0.0000 0.0000 0.0000  8 Te 2.83
Re1 0.5000 0.5000 0.5000  8 Te 2.83
Te1 0.2500 0.2500 0.2500  4 Re 2.83, 4 Cr 2.83
Te2 0.7500 0.7500 0.7500  4 Re 2.83, 4 Cr 2.83

---

Stability summary: most stable i, least stable ii.

---

i | The following is a DFT calculation (GGA-PBE) of a geometry-optimized CrReTe2 structure.

Output
Crystal system: cubic
Volume, Å³ per atom: 20.0

Cell: 4.8394 4.8394 4.8394 Å, 60.00 60.00 60.00°
Last column: nearest neighbours and their distance in Å.
Atoms (fractional coordinates):
Cr1 0.0000 0.0000 0.0000  4 Re 2.96, 4 Te 2.96
Re1 0.2500 0.2500 0.2500  4 Te 2.96, 4 Cr 2.96
Te1 0.5000 0.5000 0.5000  4 Te 2.96, 4 Re 2.96
Te2 0.7500 0.7500 0.7500  4 Cr 2.96, 4 Te 2.96

---

ii | The following is a DFT calculation (GGA-PBE) of a geometry-optimized CrReTe2 structure.

Output
Crystal system: orthorhombic
Volume, Å³ per atom: 25.6

Cell: 7.7598 7.7598 7.7598 Å, 152.97 151.10 39.98°
Last column: nearest neighbours and their distance in Å.
Atoms (fractional coordinates):
Cr1 0.0000 0.0000 0.0000  4 Re 2.65, 4 Te 2.67
Re1 0.5000 0.5000 0.0000  4 Cr 2.65, 4 Te 2.76
Te1 0.1346 0.6346 0.5000  2 Cr 2.67, 2 Re 2.76
Te2 0.8654 0.3654 0.5000  2 Cr 2.67, 2 Re 2.76

---

Stability summary: most stable ii, least stable i.

---

i | The following is a DFT calculation (GGA-PBE) of a geometry-optimized CrReTe2 structure.

Output
Crystal system: trigonal
Volume, Å³ per atom: 19.2

Cell: 8.4261 8.4261 8.4261 Å, 22.52 22.52 22.52°
Last column: nearest neighbours and their distance in Å.
Atoms (fractional coordinates):
Cr1 0.0000 0.0000 0.0000  6 Te 2.81
Re1 0.5000 0.5000 0.5000  6 Te 2.78
Te1 0.2490 0.2490 0.2490  3 Re 2.78, 3 Cr 2.81
Te2 0.7510 0.7510 0.7510  3 Re 2.78, 3 Cr 2.81

---

ii | The following is a DFT calculation (GGA-PBE) of a geometry-optimized CrReTe2 structure.

Output
Crystal system: monoclinic
Volume, Å³ per atom: 19.6

Cell: 4.4483 3.3695 5.5757 Å, 90.00 110.59 90.00°
Last column: nearest neighbours and their distance in Å.
Atoms (fractional coordinates):
Cr1 0.0000 0.0000 0.0000  6 Te 2.79
Re1 0.5000 0.5000 0.5000  6 Te 2.79
Te1 0.0000 0.0000 0.5000  2 Cr 2.79, 4 Re 2.79
Te2 0.5000 0.5000 0.0000  2 Re 2.79, 4 Cr 2.79

---

iii | The following is a DFT calculation (GGA-PBE) of a geometry-optimized CrReTe2 structure.

Output
Crystal system: tetragonal
Volume, Å³ per atom: 25.5

Cell: 3.8101 3.8101 7.0208 Å, 90.00 90.00 90.00°
Last column: nearest neighbours and their distance in Å.
Atoms (fractional coordinates):
Cr1 0.0000 0.0000 0.0000  4 Te 2.68, 4 Re 2.69
Re1 0.5000 0.5000 0.0000  4 Te 2.68, 4 Cr 2.69
Te1 0.0000 0.5000 0.2679  2 Cr 2.68, 2 Re 2.68
Te2 0.5000 0.0000 0.7321  2 Cr 2.68, 2 Re 2.68

---

Stability summary: most stable iii, least stable i.

---

i | The following is a DFT calculation (GGA-PBE) of a geometry-optimized Cr3ReTe structure.

Output
Crystal system: cubic
Volume, Å³ per atom: 24.0

Cell: 4.9336 4.9336 4.9336 Å, 90.00 90.00 90.00°
Last column: nearest neighbours and their distance in Å.
Atoms (fractional coordinates):
Cr1 0.0000 0.0000 0.5000  2 Te 2.47
Cr2 0.0000 0.5000 0.0000  2 Te 2.47
Cr3 0.5000 0.0000 0.0000  2 Te 2.47
Re1 0.5000 0.5000 0.5000  12 Cr 3.49
Te1 0.0000 0.0000 0.0000  6 Cr 2.47

---

ii | The following is a DFT calculation (GGA-PBE) of a geometry-optimized Cr3ReTe structure.

Output
Crystal system: cubic
Volume, Å³ per atom: 21.5

Cell: 4.7573 4.7573 4.7573 Å, 90.00 90.00 90.00°
Last column: nearest neighbours and their distance in Å.
Atoms (fractional coordinates):
Cr1 0.0000 0.0000 0.5000  2 Re 2.38
Cr2 0.0000 0.5000 0.0000  2 Re 2.38
Cr3 0.5000 0.0000 0.0000  2 Re 2.38
Re1 0.0000 0.0000 0.0000  6 Cr 2.38
Te1 0.5000 0.5000 0.5000  12 Cr 3.36

---

Stability summary: most stable ii, least stable i.